# Zr2TeBr

A relaxed structure of Zr2TeBr (PBE-GGA, Alexandria).

The structure in POSCAR format:
```
Zr2TeBr
1.0
3.503 0.000 0.000
0.000 6.023 0.011
0.000 4.044 4.395
Te Zr Br
1 2 1
Cartesian
0.000 2.022 2.197
0.000 0.000 0.000
1.751 3.011 0.006
1.751 5.033 2.203
```

Values from the calculation:
Uncorrected formation energy   -0.420 eV per atom
Symmetry   No. 10
Excess energy over the best structure of this formula in the dataset   297 meV per atom